! LiTl2Rh, optimized geometry, DFT PBE-GGA; values from VASP
&SYSTEM
  ibrav = 0, nat = 16, ntyp = 3
/
ATOMIC_SPECIES
Li 6.94 Li.upf
Tl 204.38 Tl.upf
Rh 102.91 Rh.upf
ATOMIC_POSITIONS angstrom
Li 0.000 0.000 0.000
Li 0.000 3.418 3.418
Li 3.418 0.000 3.418
Li 3.418 3.418 0.000
Tl 0.000 0.000 3.418
Tl 0.000 3.418 0.000
Tl 1.709 1.709 5.127
Tl 1.709 5.127 1.709
Tl 3.418 0.000 0.000
Tl 3.418 3.418 3.418
Tl 5.127 1.709 1.709
Tl 5.127 5.127 5.127
Rh 1.709 1.709 1.709
Rh 1.709 5.127 5.127
Rh 5.127 1.709 5.127
Rh 5.127 5.127 1.709
CELL_PARAMETERS angstrom
6.836 0.000 0.000
0.000 6.836 0.000
0.000 0.000 6.836
! formation energy	132	meV per atom
! theoretical density	10.785	g/cm3
! symmetry	No. 216
! offset from the most stable computed form	0.251	eV/atom
! calculated total energy	-53.88	eV/cell

=====

! LiTl2Rh, optimized geometry, DFT PBE-GGA; values from VASP
&SYSTEM
  ibrav = 0, nat = 4, ntyp = 3
/
ATOMIC_SPECIES
Li 6.94 Li.upf
Tl 204.38 Tl.upf
Rh 102.91 Rh.upf
ATOMIC_POSITIONS angstrom
Li 0.000 0.000 0.000
Tl 0.000 2.298 1.798
Tl 2.298 0.000 1.798
Rh 2.298 2.298 0.000
CELL_PARAMETERS angstrom
4.596 0.000 0.000
0.000 4.596 0.000
0.000 0.000 3.595
! formation energy	-37	meV per atom
! theoretical density	11.339	g/cm3
! symmetry	No. 123
! offset from the most stable computed form	0.082	eV/atom
! calculated total energy	-14.14	eV/cell

=====

! LiTl2Rh, optimized geometry, DFT PBE-GGA; values from VASP
&SYSTEM
  ibrav = 0, nat = 4, ntyp = 3
/
ATOMIC_SPECIES
Li 6.94 Li.upf
Tl 204.38 Tl.upf
Rh 102.91 Rh.upf
ATOMIC_POSITIONS angstrom
Li 0.000 0.000 0.000
Tl 1.631 1.812 1.662
Tl 1.631 1.812 4.833
Rh 0.000 0.000 3.248
CELL_PARAMETERS angstrom
3.262 0.000 0.000
0.000 3.624 0.000
0.000 0.000 6.495
! formation energy	-76	meV per atom
! theoretical density	11.217	g/cm3
! symmetry	No. 47
! offset from the most stable computed form	0.043	eV/atom
! calculated total energy	-14.30	eV/cell

=====

! Li6TlRh, optimized geometry, DFT PBE-GGA; values from VASP
&SYSTEM
  ibrav = 0, nat = 32, ntyp = 3
/
ATOMIC_SPECIES
Li 6.94 Li.upf
Tl 204.38 Tl.upf
Rh 102.91 Rh.upf
ATOMIC_POSITIONS angstrom
Li 0.000 0.000 0.000
Li 0.000 0.000 6.188
Li 1.787 1.661 1.385
Li 1.787 1.661 10.991
Li 1.827 1.519 4.448
Li 1.827 1.519 7.928
Li 3.300 3.242 2.835
Li 3.300 3.242 9.540
Li 1.827 -1.519 4.448
Li 1.827 -1.519 7.928
Li 1.787 -1.661 1.385
Li 1.787 -1.661 10.991
Li 3.300 0.000 0.000
Li 3.300 0.000 6.188
Li 4.812 1.661 1.385
Li 4.812 1.661 10.991
Li 4.773 1.519 4.448
Li 4.773 1.519 7.928
Li 3.300 -3.242 2.835
Li 3.300 -3.242 9.540
Li 4.773 -1.519 4.448
Li 4.773 -1.519 7.928
Li 4.812 -1.661 1.385
Li 4.812 -1.661 10.991
Tl 0.000 0.000 2.927
Tl 0.000 0.000 9.449
Tl 3.300 3.305 6.188
Tl 3.300 -3.305 6.188
Rh 3.300 3.299 0.000
Rh 3.300 0.000 2.830
Rh 3.300 0.000 9.546
Rh 3.300 -3.299 0.000
CELL_PARAMETERS angstrom
3.300 -6.322 0.000
3.300 6.322 0.000
0.000 0.000 12.376
! formation energy	-121	meV per atom
! theoretical density	4.489	g/cm3
! symmetry	No. 65
! offset from the most stable computed form	0.009	eV/atom
! calculated total energy	-88.67	eV/cell

=====

! LiTl4Rh, optimized geometry, DFT PBE-GGA; values from VASP
&SYSTEM
  ibrav = 0, nat = 12, ntyp = 3
/
ATOMIC_SPECIES
Li 6.94 Li.upf
Tl 204.38 Tl.upf
Rh 102.91 Rh.upf
ATOMIC_POSITIONS angstrom
Li 0.000 0.000 0.000
Li 0.000 0.000 6.074
Tl 4.561 1.169 -1.612
Tl 1.169 2.223 -1.612
Tl 4.561 1.169 1.612
Tl 1.169 2.223 1.612
Tl 2.223 1.169 4.462
Tl -1.169 2.223 4.462
Tl 2.223 1.169 7.686
Tl -1.169 2.223 7.686
Rh 0.000 0.000 3.037
Rh 0.000 0.000 9.112
CELL_PARAMETERS angstrom
-3.392 3.392 6.074
3.392 -3.392 6.074
3.392 3.392 -6.074
! formation energy	-79	meV per atom
! theoretical density	11.017	g/cm3
! symmetry	No. 140
! offset from the most stable computed form	0.000	eV/atom
! calculated total energy	-38.41	eV/cell

=====

! Li2Tl3Rh, optimized geometry, DFT PBE-GGA; values from VASP
&SYSTEM
  ibrav = 0, nat = 6, ntyp = 3
/
ATOMIC_SPECIES
Li 6.94 Li.upf
Tl 204.38 Tl.upf
Rh 102.91 Rh.upf
ATOMIC_POSITIONS angstrom
Li 0.000 0.000 1.834
Li 0.000 0.000 8.374
Tl 1.710 1.710 0.000
Tl 1.710 1.710 3.496
Tl 1.710 1.710 6.712
Rh 0.000 0.000 5.104
CELL_PARAMETERS angstrom
3.420 0.000 0.000
0.000 3.420 0.000
0.000 0.000 10.208
! formation energy	-122	meV per atom
! theoretical density	10.150	g/cm3
! symmetry	No. 123
! calculated total energy	-19.01	eV/cell